A plane-wave DFT calculation with PBE was carried out for crystalline Pr8NdPb2 at its relaxed geometry.

Summary:
- calculated volume (Å³ per cell) = 385.9
- size of the total moment (μB/f.u.) = 0.00
- energy relative to the elements (eV/atom) = -0.11

Cell lengths 6.5017, 9.2531, 9.2531 Å; angles 43.98, 93.13, 93.13 degrees
Atoms (fractional coordinates):
Pb 0.3319 0.2577 0.2577
Pr 0.4042 0.8454 0.3505
Pr 0.4042 0.3505 0.8454
Pr 0.8362 0.2096 0.2096
Pr 0.5958 0.1546 0.6495
Pr 0.9031 0.5830 0.5830
Nd 0.0000 0.0000 0.0000
Pr 0.5958 0.6495 0.1546
Pr 0.1638 0.7904 0.7904
Pb 0.6681 0.7423 0.7423
Pr 0.0969 0.4170 0.4170

---

A plane-wave DFT calculation with PBE was carried out for crystalline Pr15Nd4Pb at its relaxed geometry.

Summary:
- calculated volume (Å³ per cell) = 705.3
- size of the total moment (μB/f.u.) = 0.00
- energy relative to the elements (eV/atom) = -0.05

Cell lengths 5.1775, 5.1775, 26.3114 Å; angles 90.00, 90.00, 90.00 degrees
Atoms (fractional coordinates):
Pr 0.5000 0.5000 0.8033
Pr 0.0000 0.5000 0.0959
Pr 0.5000 0.5000 0.0000
Pr 0.5000 0.5000 0.6012
Pr 0.5000 0.5000 0.1967
Pb 0.0000 0.0000 0.0000
Nd 0.0000 0.0000 0.1980
Pr 0.5000 0.0000 0.7021
Pr 0.5000 0.0000 0.2979
Nd 0.0000 0.0000 0.8020
Pr 0.0000 0.5000 0.9041
Pr 0.0000 0.5000 0.5000
Pr 0.5000 0.0000 0.0959
Pr 0.5000 0.0000 0.5000
Pr 0.0000 0.5000 0.7021
Nd 0.0000 0.0000 0.6004
Pr 0.5000 0.5000 0.3988
Pr 0.0000 0.5000 0.2979
Nd 0.0000 0.0000 0.3996
Pr 0.5000 0.0000 0.9041

---

A plane-wave DFT calculation with PBE was carried out for crystalline PrNd6Pb at its relaxed geometry.

Summary:
- calculated volume (Å³ per cell) = 267.8
- size of the total moment (μB/f.u.) = 0.00
- energy relative to the elements (eV/atom) = -0.14
- energy above the lowest structure with this stoichiometry (eV per atom) = 0.000

Cell lengths 5.0481, 5.0481, 10.5095 Å; angles 90.00, 90.00, 90.00 degrees
Atoms (fractional coordinates):
Nd 0.5000 0.0000 0.7583
Nd 0.5000 0.5000 0.5000
Nd 0.5000 0.5000 0.0000
Nd 0.5000 0.0000 0.2417
Nd 0.0000 0.5000 0.7583
Nd 0.0000 0.5000 0.2417
Pb 0.0000 0.0000 0.0000
Pr 0.0000 0.0000 0.5000

---

A plane-wave DFT calculation with PBE was carried out for crystalline PrNdPb6 at its relaxed geometry.

Summary:
- calculated volume (Å³ per cell) = 241.0
- size of the total moment (μB/f.u.) = 0.00
- energy relative to the elements (eV/atom) = -0.38

Cell lengths 4.9383, 4.9383, 9.8823 Å; angles 90.00, 90.00, 90.00 degrees
Atoms (fractional coordinates):
Pb 0.0000 0.5000 0.2510
Pb 0.5000 0.5000 0.5000
Pb 0.5000 0.0000 0.7490
Pr 0.0000 0.0000 0.0000
Pb 0.0000 0.5000 0.7490
Pb 0.5000 0.5000 0.0000
Nd 0.0000 0.0000 0.5000
Pb 0.5000 0.0000 0.2510

---

A plane-wave DFT calculation with PBE was carried out for crystalline PrNd5Pb5 at its relaxed geometry.

Summary:
- calculated volume (Å³ per cell) = 399.7
- size of the total moment (μB/f.u.) = 0.63
- energy relative to the elements (eV/atom) = -0.34

Cell lengths 6.4477, 7.9870, 8.8974 Å; angles 106.02, 90.00, 113.81 degrees
Each line ends with the local moment (μB).
Atoms (fractional coordinates):
Pr 0.0000 0.0000 0.0000  0.01
Nd 0.0000 0.0000 0.5000  0.07
Pb 0.5000 0.0000 0.0000  0.00
Pb 0.1657 0.3313 0.8277  0.00
Nd 0.6651 0.3303 0.3353  0.02
Nd 0.3319 0.6638 0.1662  0.03
Nd 0.3349 0.6697 0.6647  0.02
Pb 0.8343 0.6687 0.1723  0.00
Nd 0.6681 0.3362 0.8338  0.03
Pb 0.8344 0.6688 0.6637  0.00
Pb 0.1656 0.3312 0.3363  0.00

---

A plane-wave DFT calculation with PBE was carried out for crystalline Pr3NdPb3 at its relaxed geometry.

Summary:
- calculated volume (Å³ per cell) = 504.4
- size of the total moment (μB/f.u.) = 0.00
- energy relative to the elements (eV/atom) = -0.29

Cell lengths 8.1809, 8.1809, 8.2244 Å; angles 89.08, 89.08, 113.55 degrees
Atoms (fractional coordinates):
Nd 0.2927 0.2927 0.0807
Pb 0.5105 0.1641 0.3120
Pb 0.4895 0.8359 0.6880
Pr 0.2202 0.7798 0.0000
Pb 0.9519 0.9519 0.2035
Pb 0.1641 0.5105 0.3120
Pb 0.8359 0.4895 0.6880
Pr 0.3652 0.3652 0.6277
Nd 0.7073 0.7073 0.9193
Pb 0.0481 0.0481 0.7965
Pr 0.6348 0.6348 0.3723
Pr 0.7798 0.2202 0.0000
Pr 0.1556 0.8444 0.5000
Pr 0.8444 0.1556 0.5000

---

A plane-wave DFT calculation with PBE was carried out for crystalline Pr6Nd5Pb at its relaxed geometry.

Summary:
- calculated volume (Å³ per cell) = 414.9
- size of the total moment (μB/f.u.) = 0.00
- energy relative to the elements (eV/atom) = -0.08

Cell lengths 5.0888, 9.7478, 9.7478 Å; angles 107.21, 105.11, 105.11 degrees
Atoms (fractional coordinates):
Pr 0.2575 0.7573 0.7573
Pr 0.7563 0.5924 0.9200
Pr 0.7425 0.2427 0.2427
Nd 0.5000 0.5000 0.5000
Pr 0.7563 0.9200 0.5924
Pr 0.2437 0.4076 0.0800
Nd 0.0000 0.3368 0.6632
Nd 0.5000 0.8328 0.1672
Pb 0.0000 0.0000 0.0000
Pr 0.2437 0.0800 0.4076
Nd 0.5000 0.1672 0.8328
Nd 0.0000 0.6632 0.3368

---

A plane-wave DFT calculation with PBE was carried out for crystalline Pr8NdPb6 at its relaxed geometry.

Summary:
- calculated volume (Å³ per cell) = 533.4
- size of the total moment (μB/f.u.) = 0.00
- energy relative to the elements (eV/atom) = -0.41

Cell lengths 9.5635, 9.5635, 8.7086 Å; angles 56.70, 56.70, 60.00 degrees
Atoms (fractional coordinates):
Pb 0.4012 0.0692 0.7925
Pr 0.5638 0.2322 0.3058
Pr 0.6666 0.6666 0.0002
Pr 0.3334 0.3334 0.9998
Pb 0.7371 0.4012 0.7925
Pr 0.4362 0.7678 0.6942
Pr 0.1018 0.4362 0.6942
Pb 0.9308 0.2629 0.2075
Pb 0.2629 0.5988 0.2075
Pr 0.8982 0.5638 0.3058
Pb 0.5988 0.9308 0.2075
Pb 0.0692 0.7371 0.7925
Nd 0.0000 0.0000 0.0000
Pr 0.2322 0.8982 0.3058
Pr 0.7678 0.1018 0.6942

---

A plane-wave DFT calculation with PBE was carried out for crystalline Pr12Nd6Pb at its relaxed geometry.

Summary:
- calculated volume (Å³ per cell) = 680.5
- size of the total moment (μB/f.u.) = 0.00
- energy relative to the elements (eV/atom) = 0.04
- energy above the lowest structure with this stoichiometry (eV per atom) = 0.000

Cell lengths 8.7989, 8.7989, 8.7989 Å; angles 88.47, 88.47, 88.47 degrees
Atoms (fractional coordinates):
Nd 0.0969 0.7037 0.2573
Nd 0.9031 0.2963 0.7427
Pb 0.0000 0.0000 0.0000
Nd 0.2573 0.0969 0.7037
Pr 0.1830 0.3613 0.0152
Pr 0.5369 0.4300 0.7827
Pr 0.3613 0.0152 0.1830
Pr 0.9848 0.8170 0.6387
Pr 0.5700 0.2173 0.4631
Pr 0.4300 0.7827 0.5369
Pr 0.8170 0.6387 0.9848
Pr 0.2173 0.4631 0.5700
Pr 0.6387 0.9848 0.8170
Pr 0.4631 0.5700 0.2173
Nd 0.7037 0.2573 0.0969
Pr 0.7827 0.5369 0.4300
Nd 0.7427 0.9031 0.2963
Nd 0.2963 0.7427 0.9031
Pr 0.0152 0.1830 0.3613

---

A plane-wave DFT calculation with PBE was carried out for crystalline Pr2Nd6Pb at its relaxed geometry.

Summary:
- calculated volume (Å³ per cell) = 614.3
- size of the total moment (μB/f.u.) = 0.00
- energy relative to the elements (eV/atom) = -0.10

Cell lengths 6.8508, 15.8830, 6.8508 Å; angles 85.71, 55.79, 85.71 degrees
Atoms (fractional coordinates):
Nd 0.0208 0.0830 0.6668
Pr 0.1412 0.7041 0.4041
Nd 0.2258 0.4647 0.5389
Nd 0.5389 0.9647 0.2258
Nd 0.4611 0.0353 0.7742
Nd 0.3332 0.4170 0.9792
Nd 0.1276 0.8603 0.7658
Nd 0.7742 0.5353 0.4611
Nd 0.9792 0.9170 0.3332
Pr 0.5959 0.7959 0.8588
Nd 0.6668 0.5830 0.0208
Pr 0.8588 0.2959 0.5959
Nd 0.7658 0.3603 0.1276
Pb 0.3196 0.2500 0.6804
Nd 0.8724 0.1397 0.2342
Pb 0.6804 0.7500 0.3196
Nd 0.2342 0.6397 0.8724
Pr 0.4041 0.2041 0.1412

---

A plane-wave DFT calculation with PBE was carried out for crystalline PrNd2Pb2 at its relaxed geometry.

Summary:
- calculated volume (Å³ per cell) = 334.3
- size of the total moment (μB/f.u.) = 0.00
- energy relative to the elements (eV/atom) = -0.34
- energy above the lowest structure with this stoichiometry (eV per atom) = 0.000

Cell lengths 3.6460, 6.2586, 14.8566 Å; angles 80.42, 90.00, 90.00 degrees
Atoms (fractional coordinates):
Pb 0.7500 0.1402 0.3110
Nd 0.2500 0.7808 0.9119
Nd 0.2500 0.2452 0.4914
Nd 0.7500 0.7548 0.5086
Pr 0.2500 0.6687 0.2819
Pb 0.2500 0.8598 0.6890
Pr 0.7500 0.3313 0.7181
Pb 0.2500 0.2842 0.9037
Nd 0.7500 0.2192 0.0881
Pb 0.7500 0.7158 0.0963

---

Which of these has the highest energy relative to the elements? Pr12Nd6Pb

---

Which value of energy relative to the elements does entry 10 give? -0.10 eV/atom